Record 1
Below is an optimized crystal structure of Zn2CuH2, with properties calculated at the PBE-GGA level.

Geometry as POSCAR:
```
Zn2CuH2
1.0
2.832 0.000 0.000
0.000 2.832 0.000
1.416 1.416 6.174
Cu H Zn
1 2 2
direct
0.000 0.000 0.000
0.750 0.250 0.500
0.250 0.750 0.500
0.359 0.359 0.283
0.641 0.641 0.717
```

Results
Total moment = 0.00 μB/cell
Crystal system = tetragonal
Space group = I4/mmm
Calculated volume = 9.9 Å³ per atom
Energy = -2.392 eV/atom
Offset from the most stable computed form = 75.9 meV/atom

=====

Record 2
Below is an optimized crystal structure of Zn3Cu5H12, with properties calculated at the PBE-GGA level.

Geometry as POSCAR:
```
Zn3Cu5H12
1.0
-8.955 0.920 2.921
5.218 -3.738 6.955
3.453 8.502 -2.314
H Zn Cu
48 12 20
direct
0.898 0.827 0.534
0.602 0.966 0.673
0.466 0.793 0.865
0.673 0.207 0.571
0.034 0.398 0.827
0.865 0.571 0.898
0.635 0.602 0.929
0.207 0.534 0.635
0.398 0.034 0.327
0.898 0.071 0.865
0.327 0.534 0.398
0.929 0.102 0.635
0.793 0.466 0.365
0.929 0.827 0.793
0.071 0.173 0.207
0.571 0.707 0.673
0.966 0.365 0.293
0.707 0.571 0.173
0.534 0.327 0.898
0.673 0.466 0.602
0.635 0.034 0.207
0.207 0.673 0.071
0.365 0.966 0.793
0.707 0.135 0.034
0.398 0.365 0.571
0.102 0.173 0.466
0.534 0.207 0.135
0.429 0.135 0.602
0.466 0.673 0.102
0.135 0.429 0.102
0.173 0.071 0.707
0.071 0.898 0.365
0.571 0.865 0.398
0.293 0.865 0.966
0.827 0.898 0.034
0.365 0.398 0.071
0.034 0.635 0.707
0.793 0.327 0.929
0.327 0.793 0.429
0.966 0.602 0.173
0.135 0.707 0.534
0.602 0.635 0.429
0.293 0.429 0.827
0.865 0.293 0.466
0.102 0.929 0.135
0.429 0.293 0.327
0.173 0.102 0.966
0.827 0.929 0.293
0.625 0.250 0.375
0.375 0.625 0.250
0.375 0.750 0.625
0.125 0.875 0.750
0.750 0.375 0.125
0.750 0.875 0.625
0.875 0.125 0.250
0.875 0.750 0.125
0.250 0.625 0.875
0.250 0.125 0.375
0.625 0.375 0.750
0.125 0.250 0.875
0.625 0.875 0.250
0.500 0.500 0.000
0.125 0.750 0.375
0.625 0.750 0.875
0.875 0.625 0.750
0.375 0.250 0.125
0.000 0.000 0.000
0.250 0.875 0.125
0.000 0.000 0.500
0.250 0.375 0.625
0.500 0.000 0.000
0.875 0.250 0.625
0.125 0.375 0.250
0.500 0.000 0.500
0.750 0.125 0.875
0.500 0.500 0.500
0.000 0.500 0.500
0.375 0.125 0.750
0.750 0.625 0.375
0.000 0.500 0.000
```

Results
Total moment = 0.00 μB/cell
Crystal system = cubic
Space group = Ia-3d
Calculated volume = 8.2 Å³ per atom
Energy = -2.886 eV/atom

=====

Record 3
Below is an optimized crystal structure of Zn2CuH, with properties calculated at the PBE-GGA level.

Geometry as POSCAR:
```
Zn2CuH
1.0
-3.978 0.466 0.895
-2.314 2.567 -2.213
-2.862 -1.487 -2.538
Cu H Zn
1 1 2
direct
0.500 0.500 0.500
0.000 0.000 0.000
0.250 0.250 0.250
0.750 0.750 0.750
```

Results
Total moment = 0.00 μB/cell
Crystal system = cubic
Space group = Fm-3m
Calculated volume = 12.2 Å³ per atom
Energy = -2.044 eV/atom
Offset from the most stable computed form = 166.6 meV/atom

=====

Record 4
Below is an optimized crystal structure of ZnCuH, with properties calculated at the PBE-GGA level.

Geometry as POSCAR:
```
ZnCuH
1.0
5.463 0.000 0.000
0.000 2.644 0.000
0.000 -1.322 2.289
Zn Cu H
1 1 1
direct
0.658 0.667 0.333
0.240 0.000 0.000
0.101 0.333 0.667
```

Results
Total moment = 0.00 μB/cell
Crystal system = trigonal
Space group = P3m1
Calculated volume = 11.0 Å³ per atom
Energy = -2.787 eV/atom
Offset from the most stable computed form = 0.0 meV/atom

=====

Record 5
Below is an optimized crystal structure of Zn2CuH2, with properties calculated at the PBE-GGA level.

Geometry as POSCAR:
```
Zn2CuH2
1.0
-2.500 -4.438 -0.177
4.419 -2.465 -0.613
0.346 -0.351 3.906
H Cu Zn
4 2 4
direct
0.215 0.715 0.000
0.715 0.785 0.000
0.785 0.285 0.000
0.285 0.215 0.000
0.500 0.500 0.000
0.000 0.000 0.000
0.183 0.683 0.500
0.317 0.183 0.500
0.683 0.817 0.500
0.817 0.317 0.500
```

Results
Total moment = 0.00 μB/cell
Crystal system = tetragonal
Space group = P4/mbm
Calculated volume = 10.2 Å³ per atom
Energy = -2.468 eV/atom
Offset from the most stable computed form = 0.0 meV/atom

=====

Record 6
Below is an optimized crystal structure of Zr2ZnCuH, with properties calculated at the PBE-GGA level.

Geometry as POSCAR:
```
Zr2ZnCuH
1.0
4.440 0.000 0.000
0.000 4.440 0.000
0.000 0.000 3.754
H Zn Zr Cu
1 1 2 1
direct
0.000 0.000 0.000
0.500 0.500 0.500
0.500 0.000 0.000
0.000 0.500 0.000
0.000 0.000 0.500
```

Results
Total moment = 0.00 μB/cell
Crystal system = tetragonal
Space group = P4/mmm
Calculated volume = 14.8 Å³ per atom
Energy = -5.410 eV/atom
Offset from the most stable computed form = 0.0 meV/atom

=====

Record 7
Below is an optimized crystal structure of Zr2ZnCuH, with properties calculated at the PBE-GGA level.

Geometry as POSCAR:
```
Zr2ZnCuH
1.0
-2.911 -1.598 -2.800
-2.243 -1.707 3.305
-2.102 3.323 0.289
Zr Cu Zn H
2 1 1 1
direct
0.000 0.500 0.000
0.500 0.000 0.000
0.500 0.500 0.500
0.000 0.000 0.500
0.000 0.000 0.000
```

Results
Total moment = 0.00 μB/cell
Crystal system = tetragonal
Space group = P4/mmm
Calculated volume = 14.9 Å³ per atom
Energy = -5.320 eV/atom
Offset from the most stable computed form = 89.7 meV/atom

=====

Record 8
Below is an optimized crystal structure of ZrCu3H, with properties calculated at the PBE-GGA level.

Geometry as POSCAR:
```
ZrCu3H
1.0
3.974 0.000 0.000
0.000 3.974 0.000
0.000 0.000 3.974
Cu H Zr
3 1 1
direct
0.000 0.500 0.000
0.500 0.000 0.000
0.000 0.000 0.500
0.000 0.000 0.000
0.500 0.500 0.500
```

Results
Total moment = 0.00 μB/cell
Crystal system = cubic
Space group = Pm-3m
Calculated volume = 12.6 Å³ per atom
Energy = -4.588 eV/atom
Offset from the most stable computed form = 0.0 meV/atom